First-principles (PBE) data for crystalline BeNb8S2 at its relaxed geometry, as listed in Alexandria.

For the formation energy without anion corrections, the calculation gives -0.101 eV per atom. Its total moment is 0.00 μB per formula unit. For the density of states at the Fermi level, the calculation gives 7.56 states/eV/f.u.

The space group is C2/m (No. 12) and the conventional cell measures 13.7603, 5.3447 and 5.0427 Å, with angles of 90.00, 92.11 and 90.00 degrees. Symmetry generates all atoms from Be at (0.0000, 0.0000, 0.0000), Nb at (0.0857, 0.5000, 0.1166), Nb at (0.1009, 0.2502, 0.6259), Nb at (0.2066, 0.0000, 0.1362) and S at (0.2404, 0.5000, 0.3464).